# LaMnGe3

A relaxed LaMnGe3 crystal (GGA-PBE, Alexandria via LeMat-Bulk).

Cell: 4.7073 4.7073 4.7073 Å, 90.00 90.00 90.00°
Closest atoms and distances in Å follow each position.
Positions (direct):
La: 0.0000 0.0000 0.0000  12 Ge 3.33
Mn: 0.5000 0.5000 0.5000  6 Ge 2.35
Ge: 0.0000 0.5000 0.5000  2 Mn 2.35
Ge: 0.5000 0.0000 0.5000  2 Mn 2.35
Ge: 0.5000 0.5000 0.0000  2 Mn 2.35

Results
electronic total energy	-5.83	eV/atom